AcSm2InN4, optimized geometry, DFT PBE; raw total energy = -113.92 eV for the cell shown
1.0
3.611 0.000 0.000
-1.805 6.131 0.000
0.000 0.000 12.460
Sm N In Ac
4 8 2 2
Direct
0.630 0.260 0.037 Sm
0.630 0.260 0.463 Sm
0.370 0.740 0.537 Sm
0.370 0.740 0.963 Sm
0.266 0.532 0.119 N
0.547 0.093 0.250 N
0.734 0.468 0.619 N
0.266 0.532 0.381 N
0.453 0.907 0.750 N
0.000 0.000 0.500 N
0.734 0.468 0.881 N
0.000 0.000 0.000 N
0.848 0.696 0.750 In
0.152 0.304 0.250 In
0.112 0.225 0.750 Ac
0.888 0.775 0.250 Ac

---

AcSmInN3, optimized geometry, DFT PBE; raw total energy = -82.76 eV for the cell shown
1.0
-0.529 0.455 3.526
-4.681 -3.973 -0.189
6.732 -5.890 1.770
Sm In N Ac
2 2 6 2
Direct
0.250 0.759 0.049 Sm
0.750 0.241 0.951 Sm
0.750 0.845 0.352 In
0.250 0.155 0.648 In
0.250 0.458 0.843 N
0.750 0.038 0.163 N
0.250 0.962 0.837 N
0.750 0.244 0.523 N
0.750 0.542 0.157 N
0.250 0.756 0.477 N
0.750 0.668 0.691 Ac
0.250 0.332 0.309 Ac

---

AcSm2InN, optimized geometry, DFT PBE; raw total energy = -28.57 eV for the cell shown; DOS at the Fermi energy = 2.95 states/eV/f.u.
1.0
5.265 0.000 0.000
0.000 5.029 0.000
0.000 0.000 5.029
N Sm Ac In
1 2 1 1
Direct
0.000 0.000 0.000 N
0.000 0.000 0.500 Sm
0.000 0.500 0.000 Sm
0.500 0.000 0.000 Ac
0.500 0.500 0.500 In

---

Sr2AcInN, optimized geometry, DFT PBE; raw total energy = -21.51 eV for the cell shown; DOS at the Fermi energy = 4.83 states/eV/f.u.
1.0
-4.202 2.936 -1.105
-2.669 -4.392 -1.517
-1.775 -0.653 5.014
Sr In N Ac
2 1 1 1
Direct
0.000 0.000 0.500 Sr
0.000 0.500 0.000 Sr
0.500 0.500 0.500 In
0.000 0.000 0.000 N
0.500 0.000 0.000 Ac

---

SrAc2InN, optimized geometry, DFT PBE; raw total energy = -24.28 eV for the cell shown; DOS at the Fermi energy = 2.11 states/eV/f.u.
1.0
-5.087 1.479 0.418
-1.538 -4.731 -1.969
-0.176 -2.005 4.957
In N Sr Ac
1 1 1 2
Direct
0.500 0.500 0.500 In
0.000 0.000 0.000 N
0.500 0.000 0.000 Sr
0.000 0.500 0.000 Ac
0.000 0.000 0.500 Ac

---

SrAc12In4N3, optimized geometry, DFT PBE; raw total energy = -93.19 eV for the cell shown; DOS at the Fermi energy = 15.44 states/eV/f.u.
1.0
9.474 0.000 0.000
-3.158 8.932 0.000
-3.158 -4.466 7.736
Ac N In Sr
12 3 4 1
Direct
0.750 0.500 0.250 Ac
0.726 0.000 0.726 Ac
0.000 0.726 0.726 Ac
0.750 0.250 0.500 Ac
0.500 0.750 0.250 Ac
0.250 0.750 0.500 Ac
0.274 0.000 0.274 Ac
0.000 0.274 0.274 Ac
0.726 0.726 0.000 Ac
0.250 0.500 0.750 Ac
0.274 0.274 0.000 Ac
0.500 0.250 0.750 Ac
0.000 0.500 0.500 N
0.500 0.500 0.000 N
0.500 0.000 0.500 N
0.500 0.000 0.000 In
0.000 0.000 0.500 In
0.000 0.500 0.000 In
0.500 0.500 0.500 In
0.000 0.000 0.000 Sr

---

Ac4TlInN, optimized geometry, DFT PBE; raw total energy = -67.13 eV for the cell shown; DOS at the Fermi energy = 6.85 states/eV/f.u.
1.0
-4.702 -5.683 0.062
3.810 -3.092 5.520
-2.739 7.117 5.877
Ac N Tl In
8 2 2 2
Direct
0.500 0.000 0.500 Ac
0.928 0.250 0.857 Ac
0.500 0.500 0.500 Ac
0.072 0.750 0.143 Ac
0.000 0.000 0.500 Ac
0.000 0.500 0.500 Ac
0.584 0.250 0.169 Ac
0.416 0.750 0.831 Ac
0.273 0.750 0.547 N
0.727 0.250 0.453 N
0.114 0.250 0.228 Tl
0.886 0.750 0.772 Tl
0.386 0.250 0.772 In
0.614 0.750 0.228 In

---

Ac2UInN5, optimized geometry, DFT PBE; raw total energy = -144.80 eV for the cell shown
1.0
3.615 0.000 0.000
-1.808 7.357 0.000
0.000 0.000 11.211
N Ac U In
10 4 2 2
Direct
0.277 0.555 0.632 N
0.642 0.285 0.503 N
0.723 0.445 0.132 N
0.300 0.600 0.392 N
0.505 0.010 0.279 N
0.358 0.715 0.003 N
0.933 0.866 0.556 N
0.495 0.990 0.779 N
0.700 0.400 0.892 N
0.067 0.134 0.056 N
0.105 0.209 0.689 Ac
0.895 0.791 0.189 Ac
0.868 0.737 0.797 Ac
0.132 0.263 0.297 Ac
0.215 0.429 0.012 U
0.785 0.571 0.512 U
0.471 0.943 0.464 In
0.529 0.057 0.964 In

---

AcYInN3, optimized geometry, DFT PBE; raw total energy = -86.70 eV for the cell shown
1.0
-2.346 0.586 -2.621
-4.519 -1.731 3.657
0.102 8.859 1.890
In N Y Ac
2 6 2 2
Direct
0.750 0.850 0.352 In
0.250 0.150 0.648 In
0.750 0.241 0.521 N
0.750 0.545 0.154 N
0.250 0.455 0.846 N
0.750 0.036 0.158 N
0.250 0.759 0.479 N
0.250 0.964 0.842 N
0.750 0.240 0.952 Y
0.250 0.760 0.048 Y
0.250 0.335 0.306 Ac
0.750 0.665 0.694 Ac

---

NaAc3In2, optimized geometry, DFT PBE; raw total energy = -20.53 eV for the cell shown; DOS at the Fermi energy = 6.17 states/eV/f.u.; formation energy from the elements = -235 meV/atom
1.0
4.144 0.000 0.000
0.000 5.549 -1.837
0.000 0.005 9.315
In Na Ac
2 1 3
Direct
0.000 0.657 0.315 In
0.000 0.343 0.685 In
0.000 0.000 0.000 Na
0.500 0.176 0.351 Ac
0.500 0.500 0.000 Ac
0.500 0.824 0.649 Ac

---

NaAcIn2, optimized geometry, DFT PBE; raw total energy = -12.04 eV for the cell shown; DOS at the Fermi energy = 0.14 states/eV/f.u.; formation energy from the elements = -285 meV/atom
1.0
-0.298 -4.220 3.677
1.621 -5.150 -1.506
4.696 -2.197 2.132
Ac In Na
1 2 1
Direct
0.250 0.250 0.250 Ac
0.000 0.000 0.000 In
0.500 0.500 0.500 In
0.750 0.750 0.750 Na

---

NaAc5In6, optimized geometry, DFT PBE; raw total energy = -42.67 eV for the cell shown; DOS at the Fermi energy = 11.03 states/eV/f.u.; formation energy from the elements = -365 meV/atom
1.0
5.503 -0.007 -1.544
-4.141 8.082 -4.214
-0.182 -1.188 9.939
In Ac Na
6 5 1
Direct
0.738 0.237 0.237 In
0.757 0.595 0.919 In
0.243 0.081 0.405 In
0.262 0.763 0.763 In
0.757 0.919 0.595 In
0.243 0.405 0.081 In
0.500 0.837 0.163 Ac
0.000 0.667 0.333 Ac
0.500 0.163 0.837 Ac
0.000 0.333 0.667 Ac
0.500 0.500 0.500 Ac
0.000 0.000 0.000 Na

---

NaAc2In, optimized geometry, DFT PBE; raw total energy = -12.81 eV for the cell shown; DOS at the Fermi energy = 3.36 states/eV/f.u.; formation energy from the elements = -134 meV/atom
1.0
-3.217 -1.742 1.949
2.614 -2.106 2.432
-0.066 6.536 5.731
Na Ac In
1 2 1
Direct
0.500 0.500 0.500 Na
0.000 0.000 0.776 Ac
0.000 0.000 0.224 Ac
0.500 0.500 0.000 In

---

NaAc5In4, optimized geometry, DFT PBE; raw total energy = -35.88 eV for the cell shown; DOS at the Fermi energy = 7.18 states/eV/f.u.; formation energy from the elements = -306 meV/atom
1.0
-2.911 1.531 -2.470
-1.325 -3.811 -0.801
-13.264 1.173 16.359
Ac In Na
5 4 1
Direct
0.500 0.500 0.306 Ac
0.500 0.500 0.884 Ac
0.500 0.500 0.694 Ac
0.500 0.500 0.500 Ac
0.500 0.500 0.116 Ac
0.000 0.000 0.403 In
0.000 0.000 0.794 In
0.000 0.000 0.206 In
0.000 0.000 0.597 In
0.000 0.000 0.000 Na

---

NaAcIn, optimized geometry, DFT PBE; relative energy among the computed polymorphs = 108 meV/atom; raw total energy = -16.66 eV for the cell shown; DOS at the Fermi energy = 2.49 states/eV/f.u.; formation energy from the elements = -55 meV/atom
1.0
4.695 0.000 0.049
2.348 4.067 0.027
-0.138 -0.009 12.758
Ac In Na
2 2 2
Direct
0.000 0.500 0.188 Ac
0.000 0.500 0.812 Ac
0.333 0.833 0.967 In
0.667 0.167 0.033 In
0.334 0.833 0.582 Na
0.666 0.167 0.418 Na

---

NaAcIn2, optimized geometry, DFT PBE; raw total energy = -11.93 eV for the cell shown; DOS at the Fermi energy = 2.60 states/eV/f.u.; formation energy from the elements = -257 meV/atom
1.0
-0.486 1.464 -3.883
3.758 -3.636 -1.841
-4.025 -3.706 -0.894
In Ac Na
2 1 1
Direct
0.000 0.500 0.000 In
0.000 0.000 0.500 In
0.500 0.500 0.500 Ac
0.500 0.000 0.000 Na

---

Na2Ac2In15, optimized geometry, DFT PBE; raw total energy = -54.52 eV for the cell shown; DOS at the Fermi energy = 8.82 states/eV/f.u.; formation energy from the elements = -136 meV/atom
1.0
8.255 0.248 0.221
1.317 8.153 0.221
1.317 1.156 8.074
In Ac Na
15 2 2
Direct
0.707 0.000 0.293 In
0.293 0.707 0.000 In
0.000 0.000 0.500 In
0.368 0.856 0.368 In
0.500 0.000 0.000 In
0.632 0.632 0.144 In
0.144 0.632 0.632 In
0.632 0.144 0.632 In
0.000 0.500 0.000 In
0.856 0.368 0.368 In
0.000 0.707 0.293 In
0.368 0.368 0.856 In
0.000 0.293 0.707 In
0.707 0.293 0.000 In
0.293 0.000 0.707 In
0.352 0.352 0.352 Ac
0.648 0.648 0.648 Ac
0.899 0.899 0.899 Na
0.101 0.101 0.101 Na

---

Na3AcIn8, optimized geometry, DFT PBE; raw total energy = -32.31 eV for the cell shown; DOS at the Fermi energy = 4.81 states/eV/f.u.; formation energy from the elements = -194 meV/atom
1.0
-0.354 0.053 6.244
-2.084 -4.947 -3.209
9.160 -4.218 0.555
Ac In Na
1 8 3
Direct
0.000 0.000 0.567 Ac
0.333 0.667 0.009 In
0.333 0.667 0.496 In
0.678 0.839 0.248 In
0.504 0.496 0.751 In
0.161 0.322 0.248 In
0.504 0.009 0.751 In
0.991 0.496 0.751 In
0.161 0.839 0.248 In
0.667 0.333 0.065 Na
0.000 0.000 0.947 Na
0.667 0.333 0.418 Na

---

NaAc2In4, optimized geometry, DFT PBE; raw total energy = -20.47 eV for the cell shown; DOS at the Fermi energy = 5.41 states/eV/f.u.; formation energy from the elements = 3 meV/atom
1.0
5.240 0.000 0.000
0.000 5.240 0.000
-2.620 -2.620 8.643
Ac In Na
2 4 1
Direct
0.640 0.640 0.279 Ac
0.360 0.360 0.721 Ac
0.500 0.000 0.000 In
0.000 0.500 0.000 In
0.835 0.835 0.669 In
0.165 0.165 0.331 In
0.000 0.000 0.000 Na

---

NaAc5In3, optimized geometry, DFT PBE; raw total energy = -64.67 eV for the cell shown; DOS at the Fermi energy = 8.96 states/eV/f.u.; formation energy from the elements = -251 meV/atom
1.0
-4.617 -4.721 3.218
5.512 -7.808 -3.546
2.181 4.065 9.092
Na In Ac
2 6 10
Direct
0.000 0.000 0.000 Na
0.500 0.000 0.000 Na
0.250 0.346 0.000 In
0.750 0.654 0.000 In
0.750 0.000 0.654 In
0.250 0.654 0.654 In
0.750 0.346 0.346 In
0.250 0.000 0.346 In
0.750 0.000 0.317 Ac
0.500 0.333 0.667 Ac
0.000 0.667 0.333 Ac
0.250 0.317 0.317 Ac
0.750 0.317 0.000 Ac
0.500 0.667 0.333 Ac
0.000 0.333 0.667 Ac
0.250 0.000 0.683 Ac
0.250 0.683 0.000 Ac
0.750 0.683 0.683 Ac